(1)
BC: optimized geometry, PBE.

POSCAR file:
```
BC
1.0
-1.230 1.738 -1.501
-2.969 0.215 2.684
2.480 3.857 2.434
B C
4 4
Cartesian
-0.155 0.011 0.141
-0.246 3.728 2.259
-2.838 1.030 1.259
-1.312 2.071 1.213
-0.049 1.072 1.282
-1.696 2.966 2.565
1.118 2.887 2.427
-1.719 2.143 3.892
```

Calculated values
ρ   2.80 g/cm3
E_form   0.469 eV/atom
Space-group type   Pmm2

***

(2)
B3C7: optimized geometry, PBE.

POSCAR file:
```
B3C7
1.0
1.290 4.133 -0.301
-1.290 4.133 -0.301
0.000 2.605 5.606
B C
3 7
Cartesian
0.000 6.461 0.001
0.000 10.788 4.893
0.000 8.976 3.900
0.000 2.001 1.152
0.000 5.162 3.260
0.000 4.315 2.005
0.000 7.315 4.369
0.000 2.847 2.418
0.000 6.648 2.968
0.000 8.756 0.856
```

Calculated values
ρ   3.13 g/cm3
E_form   0.293 eV/atom
Space-group type   Cm

***

(3)
BC: optimized geometry, PBE.

POSCAR file:
```
BC
1.0
-4.191 2.021 0.427
-3.878 1.462 -2.157
-0.126 -7.423 1.590
C B
6 6
Cartesian
-1.342 -4.629 0.838
-6.660 2.589 -1.367
-8.107 -3.938 -0.131
-4.067 -1.102 -0.255
-0.073 -3.732 0.798
-6.890 -1.119 -0.593
-2.869 -0.066 -0.333
-2.543 -3.574 0.465
-5.500 -0.324 -0.596
-5.601 -3.740 0.130
-1.219 -0.847 0.035
-4.335 -5.019 0.560
```

Calculated values
ρ   2.75 g/cm3
E_form   0.426 eV/atom
Space-group type   Cm

***

(4)
B3C2: optimized geometry, PBE.

POSCAR file:
```
B3C2
1.0
-4.686 -0.346 -0.895
-3.790 -2.811 -0.780
-4.433 -1.364 5.266
B C
6 4
Cartesian
-7.361 -2.543 2.788
-12.107 -4.224 3.715
-0.802 -0.297 -0.124
-3.266 -1.155 0.663
-5.549 -1.978 0.803
-9.644 -3.366 2.928
-1.808 -0.609 1.023
-4.379 -1.507 1.788
-11.102 -3.912 2.568
-8.531 -3.014 1.803
```

Calculated values
ρ   2.58 g/cm3
E_form   0.328 eV/atom
Space-group type   C2/m

***

no.,energy (eV/atom)
1,-7.481
2,-8.167
3,-7.524
4,-7.368